1.
{
  "formula": "MgTaS3",
  "functional": "PBE-GGA",
  "state": "optimized geometry",
  "de_polymorph_mev_per_atom": 0,
  "raw_formation_energy_ev_per_atom": -1.0813,
  "total_magnetization_mub_per_cell": 0.00,
  "lattice_angstrom": [[-1.944, -1.265, -2.634], [1.007, -6.117, 2.195], [-7.239, 2.474, 4.154]],
  "species": ["Mg", "Mg", "S", "S", "S", "S", "S", "S", "Ta", "Ta"],
  "frac_coords": [[0.250, 0.716, 0.965], [0.750, 0.284, 0.035], [0.250, 0.039, 0.838], [0.750, 0.961, 0.162], [0.750, 0.762, 0.516], [0.250, 0.511, 0.187], [0.250, 0.238, 0.484], [0.750, 0.489, 0.813], [0.250, 0.867, 0.350], [0.750, 0.133, 0.650]]
}



2.
{
  "formula": "CuMo2Pb",
  "functional": "PBE-GGA",
  "state": "optimized geometry",
  "formation_enthalpy_0k_mev_per_atom": 518.6,
  "total_magnetization_mub_per_cell": 0.00,
  "lattice_angstrom": [[-2.672, -1.133, -0.500], [0.489, 0.304, 2.888], [-3.499, 8.382, -0.290]],
  "species": ["Mo", "Mo", "Cu", "Pb"],
  "frac_coords": [[0.000, 0.000, 0.001], [0.500, 0.500, 0.216], [0.500, 0.500, 0.781], [0.000, 0.000, 0.503]]
}



3.
{
  "formula": "SmScTl2",
  "functional": "PBE-GGA",
  "state": "optimized geometry",
  "formation_enthalpy_0k_mev_per_atom": -293.4,
  "total_magnetization_mub_per_cell": 0.66,
  "lattice_angstrom": [[4.363, 0.000, 0.000], [0.000, 4.901, 0.000], [0.000, 0.000, 4.901]],
  "species": ["Sc", "Sm", "Tl", "Tl"],
  "frac_coords": [[0.500, 0.000, 0.000], [0.500, 0.500, 0.500], [0.000, 0.000, 0.500], [0.000, 0.500, 0.000]]
}



4.
{
  "formula": "NaYHf",
  "functional": "PBE-GGA",
  "state": "optimized geometry",
  "de_polymorph_mev_per_atom": 449,
  "formation_enthalpy_0k_mev_per_atom": 567.6,
  "total_magnetization_mub_per_cell": 0.00,
  "lattice_angstrom": [[6.488, 0.000, 0.000], [0.000, 5.431, 0.000], [0.000, 0.000, 9.849]],
  "species": ["Hf", "Hf", "Hf", "Hf", "Y", "Y", "Y", "Y", "Na", "Na", "Na", "Na"],
  "frac_coords": [[0.251, 0.250, 0.250], [0.749, 0.750, 0.750], [0.249, 0.750, 0.750], [0.751, 0.250, 0.250], [0.999, 0.250, 0.905], [0.001, 0.750, 0.095], [0.499, 0.250, 0.595], [0.501, 0.750, 0.405], [0.499, 0.250, 0.936], [0.001, 0.750, 0.436], [0.999, 0.250, 0.564], [0.501, 0.750, 0.064]]
}



5.
{
  "formula": "TiV4Re5",
  "functional": "PBE-GGA",
  "state": "optimized geometry",
  "formation_enthalpy_0k_mev_per_atom": -376.0,
  "total_magnetization_mub_per_cell": 0.00,
  "lattice_angstrom": [[-0.529, 0.631, 2.937], [2.256, -1.886, 0.811], [9.974, 11.632, -0.700]],
  "species": ["Re", "Re", "Re", "Re", "Re", "V", "V", "V", "V", "Ti"],
  "frac_coords": [[0.500, 0.500, 0.895], [0.500, 0.500, 0.500], [0.500, 0.500, 0.697], [0.500, 0.500, 0.303], [0.500, 0.500, 0.105], [0.000, 0.000, 0.599], [0.000, 0.000, 0.798], [0.000, 0.000, 0.401], [0.000, 0.000, 0.202], [0.000, 0.000, 0.000]]
}



6.
{
  "formula": "In2PtPbN",
  "functional": "PBE-GGA",
  "state": "optimized geometry",
  "raw_formation_energy_ev_per_atom": 0.2514,
  "total_magnetization_mub_per_cell": 0.00,
  "lattice_angstrom": [[5.729, 0.000, 0.000], [0.000, 3.696, 0.000], [0.000, 0.000, 5.729]],
  "species": ["Pt", "In", "In", "Pb", "N"],
  "frac_coords": [[0.000, 0.000, 0.000], [0.500, 0.000, 0.000], [0.000, 0.000, 0.500], [0.500, 0.500, 0.500], [0.000, 0.500, 0.000]]
}